DFT (PBE) results for Sc2AgAs after structural relaxation.

Calculated values
* electronic total energy: -5.6669 eV per atom
* energy of formation from the pure elements: -2.5 eV per formula unit

Cell lengths 4.643, 3.620, 4.643 Å; angles 90.00, 90.00, 90.00 degrees
Site moments in Bohr magnetons follow the coordinates.
Atoms (fractional coordinates):
Sc  0.000  0.125  0.875  -0.20
Sc  0.500  0.125  0.375  -0.20
As  0.500  0.625  0.875  0.01
Ag  0.000  0.625  0.375  -0.01

***

DFT (PBE) results for ScAgAs2Se after structural relaxation.

Calculated values
* electronic total energy: -4.0185 eV per atom
* energy above the lowest structure with this stoichiometry: 212.3 meV/atom
* ΔE_f (raw): 0.375 eV per atom

Cell lengths 4.929, 4.929, 5.089 Å; angles 90.00, 90.00, 90.00 degrees
Atoms (fractional coordinates):
Ag  0.000  0.000  0.000
As  0.500  0.000  0.000
As  0.000  0.500  0.000
Se  0.000  0.000  0.500
Sc  0.500  0.500  0.500

***

DFT (PBE) results for ScAgAs2Se after structural relaxation.

Calculated values
* electronic total energy: -4.2308 eV per atom
* energy above the lowest structure with this stoichiometry: 0.0 meV/atom
* ΔE_f (raw): 0.162 eV per atom

Cell lengths 5.117, 5.117, 5.116 Å; angles 90.00, 90.00, 90.00 degrees
Atoms (fractional coordinates):
Se  0.000  0.000  0.500
Sc  0.000  0.000  0.000
As  0.500  0.000  0.000
As  0.000  0.500  0.000
Ag  0.500  0.500  0.500

***

DFT (PBE) results for ScAg2AsSe4 after structural relaxation.

Calculated values
* electronic total energy: -4.3819 eV per atom
* ΔE_f (raw): -0.554 eV per atom

Cell lengths 7.938, 7.938, 7.924 Å; angles 119.93, 119.93, 90.26 degrees
Atoms (fractional coordinates):
Se  0.769  0.254  0.012
Se  0.246  0.731  0.488
Se  0.231  0.746  0.988
Se  0.245  0.255  0.490
Se  0.755  0.745  0.990
Se  0.754  0.269  0.512
Se  0.245  0.255  0.010
Se  0.755  0.745  0.510
As  0.000  0.000  0.000
As  0.500  0.500  0.500
Sc  0.000  0.500  0.000
Sc  0.000  0.500  0.500
Ag  0.500  0.500  0.000
Ag  0.000  0.000  0.500
Ag  0.500  0.000  0.000
Ag  0.500  0.000  0.500

***

DFT (PBE) results for ScTcAgAs2 after structural relaxation.

Calculated values
* electronic total energy: -4.7753 eV per atom
* energy of formation from the pure elements: 5.0 eV per formula unit

Cell lengths 4.977, 5.138, 4.977 Å; angles 90.00, 90.00, 90.00 degrees
Site moments in Bohr magnetons follow the coordinates.
Atoms (fractional coordinates):
As  0.000  0.000  0.500  -0.02
As  0.500  0.000  0.000  -0.01
Tc  0.500  0.500  0.500  3.54
Sc  0.000  0.000  0.000  0.00
Ag  0.000  0.500  0.000  -0.02

***

DFT (PBE) results for ScAg2TeAs after structural relaxation.

Calculated values
* electronic total energy: -3.3662 eV per atom
* ΔE_f (raw): 0.599 eV per atom

Cell lengths 5.256, 5.022, 5.256 Å; angles 90.00, 90.00, 90.00 degrees
Atoms (fractional coordinates):
As  0.000  0.500  0.000
Te  0.500  0.500  0.500
Ag  0.500  0.000  0.000
Ag  0.000  0.000  0.500
Sc  0.000  0.000  0.000

***

DFT (PBE) results for ScVAgAs2 after structural relaxation.

Calculated values
* electronic total energy: -4.4048 eV per atom
* energy of formation from the pure elements: 5.6 eV per formula unit

Cell lengths 4.928, 5.011, 4.928 Å; angles 90.00, 90.00, 90.00 degrees
Site moments in Bohr magnetons follow the coordinates.
Atoms (fractional coordinates):
Ag  0.000  0.000  0.000  0.01
As  0.000  0.000  0.500  0.02
As  0.500  0.000  0.000  0.04
Sc  0.000  0.500  0.000  -0.07
V  0.500  0.500  0.500  -0.17

***

DFT (PBE) results for ScZnAg2As after structural relaxation.

Calculated values
* electronic total energy: -2.9154 eV per atom
* energy of formation from the pure elements: 3.4 eV per formula unit

Cell lengths 5.343, 4.981, 5.343 Å; angles 90.00, 90.00, 90.00 degrees
Atoms (fractional coordinates):
Ag  0.500  0.000  0.000
Ag  0.000  0.000  0.500
As  0.000  0.500  0.000
Sc  0.000  0.000  0.000
Zn  0.500  0.500  0.500

***

DFT (PBE) results for Ag3AsSe4 after structural relaxation.

Calculated values
* electronic total energy: -3.4343 eV per atom
* energy above the lowest structure with this stoichiometry: 32.4 meV/atom
* ΔE_f (raw): -0.042 eV per atom

Cell lengths 6.002, 6.002, 6.002 Å; angles 90.00, 90.00, 90.00 degrees
Atoms (fractional coordinates):
Ag  0.500  0.500  0.000
Ag  0.000  0.500  0.500
Ag  0.500  0.000  0.500
Se  0.235  0.765  0.765
Se  0.765  0.765  0.235
Se  0.235  0.235  0.235
Se  0.765  0.235  0.765
As  0.000  0.000  0.000

***

DFT (PBE) results for AgAs2Se2 after structural relaxation.

Calculated values
* electronic total energy: -3.4947 eV per atom
* energy above the lowest structure with this stoichiometry: 163.8 meV/atom
* ΔE_f (raw): 0.329 eV per atom

Cell lengths 3.774, 3.774, 8.091 Å; angles 76.51, 76.51, 90.00 degrees
Atoms (fractional coordinates):
Ag  0.000  0.000  0.000
As  0.250  0.750  0.500
As  0.750  0.250  0.500
Se  0.590  0.590  0.819
Se  0.410  0.410  0.181

***

DFT (PBE) results for AgAsSe after structural relaxation.

Calculated values
* electronic total energy: -3.3170 eV per atom
* ΔE_f (raw): 0.345 eV per atom

Cell lengths 3.004, 3.004, 8.203 Å; angles 90.00, 90.00, 120.00 degrees
Atoms (fractional coordinates):
As  0.333  0.667  0.279
Ag  0.000  0.000  0.003
Se  0.667  0.333  0.718

***

DFT (PBE) results for Ag2As2Se after structural relaxation.

Calculated values
* electronic total energy: -3.1748 eV per atom
* energy above the lowest structure with this stoichiometry: 250.8 meV/atom
* ΔE_f (raw): 0.522 eV per atom

Cell lengths 4.918, 4.918, 5.054 Å; angles 90.00, 90.00, 90.00 degrees
Atoms (fractional coordinates):
As  0.000  0.000  0.500
As  0.000  0.000  0.000
Ag  0.000  0.500  0.000
Ag  0.500  0.000  0.000
Se  0.500  0.500  0.500

***

Repeat the eighth record exactly.
DFT (PBE) results for ScZnAg2As after structural relaxation.

Calculated values
* electronic total energy: -2.9154 eV per atom
* energy of formation from the pure elements: 3.4 eV per formula unit

Cell lengths 5.343, 4.981, 5.343 Å; angles 90.00, 90.00, 90.00 degrees
Atoms (fractional coordinates):
Ag  0.500  0.000  0.000
Ag  0.000  0.000  0.500
As  0.000  0.500  0.000
Sc  0.000  0.000  0.000
Zn  0.500  0.500  0.500